(1)
! GdMgO3 | OQMD | PBE | optimized geometry; values from VASP
! E in eV/atom: -6.86
! Crystal system: orthorhombic
&SYSTEM
  ibrav = 0, nat = 20, ntyp = 3
/
ATOMIC_SPECIES
Gd 157.25 Gd.upf
Mg 24.30 Mg.upf
O 16.00 O.upf
CELL_PARAMETERS angstrom
5.7317 0.0000 0.0000
0.0000 7.5577 0.0000
0.0000 0.0000 5.3468
ATOMIC_POSITIONS angstrom
Gd 0.4332 1.8894 0.1238
Gd 2.4326 5.6683 2.7972
Gd 3.2991 1.8894 2.5495
Gd 5.2985 5.6683 5.2229
Mg 0.0000 0.0000 2.6734
Mg 0.0000 3.7788 2.6734
Mg 2.8658 0.0000 0.0000
Mg 2.8658 3.7788 0.0000
O 0.2556 5.6683 2.0307
O 1.1305 4.2281 4.3365
O 1.1305 7.1084 4.3365
O 1.7354 0.4492 1.6631
O 1.7354 3.3296 1.6631
O 2.6102 1.8894 4.7041
O 3.1215 5.6683 0.6427
O 3.9963 4.2281 3.6837
O 3.9963 7.1084 3.6837
O 4.6012 0.4492 1.0103
O 4.6012 3.3296 1.0103
O 5.4761 1.8894 3.3161

***

(2)
! GdMg2O4 | OQMD | PBE | optimized geometry; values from VASP
! E in eV/atom: -6.50
! Crystal system: cubic
&SYSTEM
  ibrav = 0, nat = 14, ntyp = 3
/
ATOMIC_SPECIES
Gd 157.25 Gd.upf
Mg 24.30 Mg.upf
O 16.00 O.upf
CELL_PARAMETERS angstrom
0.0000 4.4314 4.4314
4.4314 0.0000 4.4314
4.4314 4.4314 0.0000
ATOMIC_POSITIONS angstrom
Gd 1.1078 1.1078 1.1078
Gd 7.7549 7.7549 7.7549
Mg 4.4314 2.2157 2.2157
Mg 2.2157 4.4314 2.2157
Mg 2.2157 2.2157 4.4314
Mg 4.4314 4.4314 4.4314
O 2.3445 2.3445 2.3445
O 4.3026 4.3026 2.3445
O 4.3026 2.3445 4.3026
O 6.5183 4.5602 4.5602
O 2.3445 4.3026 4.3026
O 4.5602 6.5183 4.5602
O 4.5602 4.5602 6.5183
O 6.5183 6.5183 6.5183

***

(3)
! GdMgO3 | OQMD | PBE | optimized geometry; values from VASP
! E in eV/atom: -6.67
! Crystal system: tetragonal
&SYSTEM
  ibrav = 0, nat = 5, ntyp = 3
/
ATOMIC_SPECIES
Gd 157.25 Gd.upf
Mg 24.30 Mg.upf
O 16.00 O.upf
CELL_PARAMETERS angstrom
3.8513 0.0000 0.0000
0.0000 3.8513 0.0000
0.0000 0.0000 4.0594
ATOMIC_POSITIONS angstrom
Gd 0.0000 0.0000 0.0000
Mg 1.9256 1.9256 2.4713
O 0.0000 1.9256 2.7544
O 1.9256 0.0000 2.7544
O 1.9256 1.9256 0.5239

***

(4)
! GdMgSO | OQMD | PBE | optimized geometry; values from VASP
! E in eV/atom: -5.86
! Crystal system: orthorhombic
&SYSTEM
  ibrav = 0, nat = 32, ntyp = 4
/
ATOMIC_SPECIES
Gd 157.25 Gd.upf
Mg 24.30 Mg.upf
S 32.06 S.upf
O 16.00 O.upf
CELL_PARAMETERS angstrom
7.0028 0.0000 0.0000
0.0000 7.1564 0.0000
0.0000 0.0000 11.1592
ATOMIC_POSITIONS angstrom
Gd 0.8696 0.2394 2.3670
Gd 0.8696 3.3388 7.9466
Gd 2.6318 3.8176 2.3670
Gd 2.6318 6.9170 7.9466
Gd 4.3710 0.2394 3.2126
Gd 4.3710 3.3388 8.7922
Gd 6.1331 3.8176 3.2126
Gd 6.1331 6.9170 8.7922
Mg 0.1284 5.0930 0.2087
Mg 0.1284 5.6416 5.7882
Mg 3.3730 1.5148 0.2087
Mg 3.3730 2.0634 5.7882
Mg 3.6298 5.0930 5.3709
Mg 3.6298 5.6416 10.9505
Mg 6.8744 1.5148 5.3709
Mg 6.8744 2.0634 10.9505
S 1.5321 3.6453 4.9491
S 1.5321 7.0893 10.5287
S 1.9693 0.0671 4.9491
S 1.9693 3.5111 10.5287
S 5.0335 3.6453 0.6305
S 5.0335 7.0893 6.2101
S 5.4707 0.0671 0.6305
S 5.4707 3.5111 6.2101
O 0.7111 5.0730 2.1098
O 0.7111 5.6616 7.6893
O 2.7903 1.4948 2.1098
O 2.7903 2.0834 7.6893
O 4.2125 5.0730 3.4698
O 4.2125 5.6616 9.0494
O 6.2917 1.4948 3.4698
O 6.2917 2.0834 9.0494

***

(5)
! GdMgSO | OQMD | PBE | optimized geometry; values from VASP
! E in eV/atom: -5.86
! Crystal system: orthorhombic
&SYSTEM
  ibrav = 0, nat = 32, ntyp = 4
/
ATOMIC_SPECIES
Gd 157.25 Gd.upf
Mg 24.30 Mg.upf
S 32.06 S.upf
O 16.00 O.upf
CELL_PARAMETERS angstrom
7.0091 0.0000 0.0000
0.0000 7.1461 0.0000
0.0000 0.0000 11.2226
ATOMIC_POSITIONS angstrom
Gd 0.8685 0.2401 2.3828
Gd 0.8685 3.3330 7.9941
Gd 2.6361 3.8131 2.3828
Gd 2.6361 6.9061 7.9941
Gd 4.3730 0.2401 3.2285
Gd 4.3730 3.3330 8.8397
Gd 6.1406 3.8131 3.2285
Gd 6.1406 6.9061 8.8397
Mg 0.1303 5.0870 0.2149
Mg 0.1303 5.6322 5.8262
Mg 3.3742 1.5139 0.2149
Mg 3.3742 2.0592 5.8262
Mg 3.6349 5.0870 5.3964
Mg 3.6349 5.6322 11.0076
Mg 6.8788 1.5139 5.3964
Mg 6.8788 2.0592 11.0076
S 1.5346 3.6386 4.9725
S 1.5346 7.0806 10.5837
S 1.9700 0.0655 4.9725
S 1.9700 3.5076 10.5837
S 5.0391 3.6386 0.6388
S 5.0391 7.0806 6.2501
S 5.4745 0.0655 0.6388
S 5.4745 3.5076 6.2501
O 0.7124 5.0621 2.1179
O 0.7124 5.6571 7.7292
O 2.7921 1.4890 2.1179
O 2.7921 2.0840 7.7292
O 4.2170 5.0621 3.4934
O 4.2170 5.6571 9.1047
O 6.2967 1.4890 3.4934
O 6.2967 2.0840 9.1047

***

(6)
! GdMgSO | OQMD | PBE | optimized geometry; values from VASP
! E in eV/atom: -5.64
! Crystal system: trigonal
&SYSTEM
  ibrav = 0, nat = 8, ntyp = 4
/
ATOMIC_SPECIES
Gd 157.25 Gd.upf
Mg 24.30 Mg.upf
S 32.06 S.upf
O 16.00 O.upf
CELL_PARAMETERS angstrom
2.1583 1.2461 10.3564
-2.1583 1.2461 10.3564
0.0000 -2.4922 10.3564
ATOMIC_POSITIONS angstrom
Gd 0.0000 0.0000 7.1003
Gd 0.0000 0.0000 23.9690
Mg 0.0000 0.0000 11.2817
Mg 0.0000 0.0000 19.7877
S 0.0000 0.0000 4.0089
S 0.0000 0.0000 27.0604
O 0.0000 0.0000 9.3343
O 0.0000 0.0000 21.7351

***

(7)
! GdMgSeO | OQMD | PBE | optimized geometry; values from VASP
! E in eV/atom: -5.41
! Energy above the most stable polymorph in this dataset in eV per formula unit: 0.00
! Crystal system: trigonal
&SYSTEM
  ibrav = 0, nat = 8, ntyp = 4
/
ATOMIC_SPECIES
Gd 157.25 Gd.upf
Mg 24.30 Mg.upf
Se 78.96 Se.upf
O 16.00 O.upf
CELL_PARAMETERS angstrom
2.0214 1.1670 12.5061
-2.0214 1.1670 12.5061
0.0000 -2.3341 12.5061
ATOMIC_POSITIONS angstrom
Gd 0.0000 0.0000 9.1618
Gd 0.0000 0.0000 28.3566
Mg 0.0000 0.0000 13.4534
Mg 0.0000 0.0000 24.0651
Se 0.0000 0.0000 4.7716
Se 0.0000 0.0000 32.7469
O 0.0000 0.0000 11.4773
O 0.0000 0.0000 26.0412

***

(8)
! Gd2MgTeO6 | OQMD | PBE | optimized geometry; values from VASP
! E in eV/atom: -6.90
! Crystal system: monoclinic
&SYSTEM
  ibrav = 0, nat = 20, ntyp = 4
/
ATOMIC_SPECIES
Gd 157.25 Gd.upf
Mg 24.30 Mg.upf
Te 127.60 Te.upf
O 16.00 O.upf
CELL_PARAMETERS angstrom
5.4767 0.0000 0.0000
0.0000 5.8049 0.0000
-5.3749 0.0000 7.9848
ATOMIC_POSITIONS angstrom
Gd -0.0966 0.3839 1.9869
Gd -2.7841 2.5186 5.9793
Gd 2.8859 3.2863 2.0055
Gd 0.1985 5.4211 5.9979
Mg -2.6874 0.0000 3.9924
Mg 0.0000 2.9025 0.0000
Te 2.7384 0.0000 0.0000
Te 0.0509 2.9025 3.9924
O -4.3911 1.1454 7.4427
O -1.7036 1.7571 3.4503
O -3.7137 3.9962 7.4390
O -1.0263 4.7112 3.4466
O -1.9288 0.3372 5.9368
O 0.7587 2.5652 1.9444
O -0.6568 3.2397 6.0404
O 2.0306 5.4677 2.0480
O 1.1281 1.0937 4.5381
O 3.8156 1.8087 0.5458
O 1.8055 4.0478 4.5344
O 4.4929 4.6596 0.5420

***

(9)
! GdMg3P | OQMD | PBE | optimized geometry; values from VASP
! E in eV/atom: -2.93
! Crystal system: cubic
&SYSTEM
  ibrav = 0, nat = 5, ntyp = 3
/
ATOMIC_SPECIES
Gd 157.25 Gd.upf
Mg 24.30 Mg.upf
P 30.97 P.upf
CELL_PARAMETERS angstrom
5.0113 0.0000 0.0000
0.0000 5.0113 0.0000
0.0000 0.0000 5.0113
ATOMIC_POSITIONS angstrom
Gd 0.0000 0.0000 0.0000
Mg 0.0000 2.5057 2.5057
Mg 2.5057 0.0000 2.5057
Mg 2.5057 2.5057 0.0000
P 2.5057 2.5057 2.5057

***

(10)
! GdMgZnP2 | OQMD | PBE | optimized geometry; values from VASP
! E in eV/atom: -4.47
! Crystal system: trigonal
&SYSTEM
  ibrav = 0, nat = 5, ntyp = 4
/
ATOMIC_SPECIES
Gd 157.25 Gd.upf
Mg 24.30 Mg.upf
Zn 65.41 Zn.upf
P 30.97 P.upf
CELL_PARAMETERS angstrom
4.0879 0.0000 0.0000
-2.0440 3.5402 0.0000
0.0000 0.0000 6.8202
ATOMIC_POSITIONS angstrom
Gd 0.0000 0.0000 0.0000
Mg 0.0000 2.3602 2.5244
Zn 2.0440 1.1801 4.4184
P 0.0000 2.3602 5.0560
P 2.0440 1.1801 1.6790

***

(11)
! GdMgPb | OQMD | PBE | optimized geometry; values from VASP
! E in eV/atom: -3.75
! Crystal system: tetragonal
&SYSTEM
  ibrav = 0, nat = 12, ntyp = 3
/
ATOMIC_SPECIES
Gd 157.25 Gd.upf
Mg 24.30 Mg.upf
Pb 207.20 Pb.upf
CELL_PARAMETERS angstrom
4.4704 0.0000 0.0000
0.0000 4.4704 0.0000
0.0000 0.0000 16.1337
ATOMIC_POSITIONS angstrom
Gd 0.0000 0.0000 2.6357
Gd 0.0000 0.0000 13.4980
Gd 2.2352 2.2352 5.4311
Gd 2.2352 2.2352 10.7026
Mg 0.0000 2.2352 0.0000
Mg 0.0000 2.2352 8.0669
Mg 2.2352 0.0000 0.0000
Mg 2.2352 0.0000 8.0669
Pb 0.0000 0.0000 5.8355
Pb 0.0000 0.0000 10.2983
Pb 2.2352 2.2352 2.2314
Pb 2.2352 2.2352 13.9023

***

(12)
! GdMgPb2 | OQMD | PBE | optimized geometry; values from VASP
! E in eV/atom: -3.76
! Crystal system: tetragonal
&SYSTEM
  ibrav = 0, nat = 4, ntyp = 3
/
ATOMIC_SPECIES
Gd 157.25 Gd.upf
Mg 24.30 Mg.upf
Pb 207.20 Pb.upf
CELL_PARAMETERS angstrom
4.9169 0.0000 0.0000
0.0000 4.9169 0.0000
0.0000 0.0000 4.4466
ATOMIC_POSITIONS angstrom
Gd 0.0000 0.0000 0.0000
Mg 2.4585 2.4585 0.0000
Pb 0.0000 2.4585 2.2233
Pb 2.4585 0.0000 2.2233